Na2ThSbSe4 | PBE | optimized geometry

## Properties
**Magnetization**: 0.116 μB per atom
**V**: 232 Å³/cell
**Formation energy (no corrections)**: -1059.1 meV/atom

Cell: 4.223 8.024 7.545 Å, 114.92 90.00 90.00°
Fractional coordinates of all 8 atoms:
Th  0.500  0.500  0.000
Se  0.000  0.719  0.261
Se  0.000  0.281  0.739
Sb  0.000  0.000  0.000
Se  0.500  0.742  0.794
Na  0.500  0.000  0.500
Na  0.000  0.500  0.500
Se  0.500  0.258  0.206